Here is Y2P2W at its PBEsol-relaxed geometry from Alexandria. Energies are from SCAN.

abc: 6.6355 6.6355 4.0652
angles: 90.00 90.00 90.00
Closest atoms and distances in Å follow each position.
Sites, in units of the cell vectors:
Y  0.1732  0.3268  0.0000  6 P 2.71-2.90
Y  0.3268  0.8268  0.0000  6 P 2.71-2.90
Y  0.6732  0.1732  0.0000  6 P 2.71-2.90
Y  0.8268  0.6732  0.0000  6 P 2.71-2.90
P  0.1364  0.6364  0.5000  1 P 2.56, 2 W 2.58, 2 Y 2.71
P  0.3636  0.1364  0.5000  1 P 2.56, 2 W 2.58, 2 Y 2.71
P  0.6364  0.8636  0.5000  1 P 2.56, 2 W 2.58, 2 Y 2.71
P  0.8636  0.3636  0.5000  1 P 2.56, 2 W 2.58, 2 Y 2.71
W  0.0000  0.0000  0.5000  4 P 2.58
W  0.5000  0.5000  0.5000  4 P 2.58

Uncorrected energy in eV/atom: -30.129
ΔE_f in eV/atom: -0.8947


Here is ZrScIn at its PBEsol-relaxed geometry from Alexandria. Energies are from SCAN.

abc: 6.7400 6.7400 6.7400
angles: 90.00 90.00 90.00
Closest atoms and distances in Å follow each position.
Sites, in units of the cell vectors:
Zr  0.0000  0.0000  0.0000  4 In 2.92
Zr  0.0000  0.5000  0.5000  4 In 2.92
Zr  0.5000  0.0000  0.5000  4 In 2.92
Zr  0.5000  0.5000  0.0000  4 In 2.92
Sc  0.0000  0.0000  0.5000  4 In 2.92
Sc  0.0000  0.5000  0.0000  4 In 2.92
Sc  0.5000  0.0000  0.0000  4 In 2.92
Sc  0.5000  0.5000  0.5000  4 In 2.92
In  0.2500  0.2500  0.7500  4 Zr 2.92, 4 Sc 2.92
In  0.2500  0.7500  0.2500  4 Zr 2.92, 4 Sc 2.92
In  0.7500  0.2500  0.2500  4 Zr 2.92, 4 Sc 2.92
In  0.7500  0.7500  0.7500  4 Zr 2.92, 4 Sc 2.92

Uncorrected energy in eV/atom: -26.109
ΔE_f in eV/atom: -0.0015


Here is MnTcSb2C at its PBEsol-relaxed geometry from Alexandria. Energies are from SCAN.

abc: 4.9881 4.9881 4.8685
angles: 90.00 90.00 90.00
Closest atoms and distances in Å follow each position.
Sites, in units of the cell vectors:
Mn  0.0000  0.0000  0.0000  2 Tc 2.43
Tc  0.0000  0.0000  0.5000  2 Mn 2.43, 4 Sb 2.49
Sb  0.0000  0.5000  0.5000  2 Tc 2.49
Sb  0.5000  0.0000  0.5000  2 Tc 2.49
C  0.5000  0.5000  0.0000  8 Sb 3.49, 4 Mn 3.53

Uncorrected energy in eV/atom: -25.976


Here is AgBi3As at its PBEsol-relaxed geometry from Alexandria. Energies are from SCAN.

abc: 5.3729 5.3729 5.3729
angles: 90.00 90.00 90.00
Closest atoms and distances in Å follow each position.
Sites, in units of the cell vectors:
Ag  0.0000  0.0000  0.0000  6 Bi 2.69
Bi  0.0000  0.0000  0.5000  2 Ag 2.69
Bi  0.0000  0.5000  0.0000  2 Ag 2.69
Bi  0.5000  0.0000  0.0000  2 Ag 2.69
As  0.5000  0.5000  0.5000  12 Bi 3.80

Uncorrected energy in eV/atom: -56.594
ΔE_f in eV/atom: 0.8657


Here is LiMoW at its PBEsol-relaxed geometry from Alexandria. Energies are from SCAN.

abc: 3.2630 3.2630 8.0476
angles: 90.00 90.00 90.00
Closest atoms and distances in Å follow each position.
Sites, in units of the cell vectors:
Li  0.0000  0.0000  0.0000  5 W 2.65-2.68, 5 Mo 2.67-2.68
Li  0.5000  0.5000  0.5000  5 W 2.65-2.68, 5 Mo 2.67-2.68
Mo  0.0000  0.0000  0.6684  5 W 2.65-2.72, 5 Li 2.67-2.68
Mo  0.5000  0.5000  0.1684  5 W 2.65-2.72, 5 Li 2.67-2.68
W  0.0000  0.0000  0.3299  5 Mo 2.65-2.72, 5 Li 2.65-2.68
W  0.5000  0.5000  0.8299  5 Mo 2.65-2.72, 5 Li 2.65-2.68

Uncorrected energy in eV/atom: -35.154
ΔE_f in eV/atom: 0.5005


Here is Na2P2Os at its PBEsol-relaxed geometry from Alexandria. Energies are from SCAN.

abc: 5.9743 5.9743 4.8133
angles: 90.00 90.00 90.00
Closest atoms and distances in Å follow each position.
Sites, in units of the cell vectors:
Na  0.1842  0.3158  0.0000  6 P 2.85-3.08, 5 Na 3.09-3.11
Na  0.3158  0.8158  0.0000  6 P 2.85-3.08, 5 Na 3.09-3.11
Na  0.6842  0.1842  0.0000  6 P 2.85-3.08, 5 Na 3.09-3.11
Na  0.8158  0.6842  0.0000  6 P 2.85-3.08, 5 Na 3.09-3.11
P  0.1349  0.6349  0.5000  1 P 2.28, 2 Os 2.33
P  0.3651  0.1349  0.5000  1 P 2.28, 2 Os 2.33
P  0.6349  0.8651  0.5000  1 P 2.28, 2 Os 2.33
P  0.8651  0.3651  0.5000  1 P 2.28, 2 Os 2.33
Os  0.0000  0.0000  0.5000  4 P 2.33
Os  0.5000  0.5000  0.5000  4 P 2.33

Uncorrected energy in eV/atom: -20.674
ΔE_f in eV/atom: -0.4526


Here is IrRu2 at its PBEsol-relaxed geometry from Alexandria. Energies are from SCAN.

abc: 2.6783 2.6783 11.3656
angles: 90.00 90.00 90.00
Closest atoms and distances in Å follow each position.
Sites, in units of the cell vectors:
Ir  0.0000  0.0000  0.0000  4 Ir 2.68, 8 Ru 2.70
Ir  0.5000  0.5000  0.5000  4 Ir 2.68, 8 Ru 2.70
Ru  0.0000  0.0000  0.3312  8 Ru 2.64-2.68, 4 Ir 2.70
Ru  0.0000  0.0000  0.6688  8 Ru 2.64-2.68, 4 Ir 2.70
Ru  0.5000  0.5000  0.1688  8 Ru 2.64-2.68, 4 Ir 2.70
Ru  0.5000  0.5000  0.8312  8 Ru 2.64-2.68, 4 Ir 2.70

Uncorrected energy in eV/atom: -46.919
ΔE_f in eV/atom: -0.0017


Here is WCl6 at its PBEsol-relaxed geometry from Alexandria. Energies are from SCAN.

abc: 10.6308 10.6308 5.6404
angles: 90.00 90.00 120.00
Closest atoms and distances in Å follow each position.
Sites, in units of the cell vectors:
W  0.0000  0.0000  0.0000  6 Cl 2.29
W  0.3333  0.6667  0.5095  6 Cl 2.29
W  0.6667  0.3333  0.4905  6 Cl 2.29
Cl  0.1013  0.2026  0.7654  1 W 2.29
Cl  0.1013  0.8987  0.7654  1 W 2.29
Cl  0.1306  0.5653  0.7439  1 W 2.29
Cl  0.2026  0.1013  0.2346  1 W 2.29
Cl  0.2320  0.4640  0.2749  1 W 2.29
Cl  0.2320  0.7680  0.2749  1 W 2.29
Cl  0.4347  0.5653  0.7439  1 W 2.29
Cl  0.4347  0.8694  0.7439  1 W 2.29
Cl  0.4640  0.2320  0.7251  1 W 2.29
Cl  0.5360  0.7680  0.2749  1 W 2.29
Cl  0.5653  0.1306  0.2561  1 W 2.29
Cl  0.5653  0.4347  0.2561  1 W 2.29
Cl  0.7680  0.2320  0.7251  1 W 2.29
Cl  0.7680  0.5360  0.7251  1 W 2.29
Cl  0.7974  0.8987  0.7654  1 W 2.29
Cl  0.8694  0.4347  0.2561  1 W 2.29
Cl  0.8987  0.1013  0.2346  1 W 2.29
Cl  0.8987  0.7974  0.2346  1 W 2.29

Uncorrected energy in eV/atom: -17.711